# 1
Sm8Ga2Ir: relaxed, PBE.

Cell lengths 4.8808, 8.5837, 14.4861 Å; angles 90.00, 90.00, 90.00 degrees
Last column: nearest neighbours and their distance in Å.
Space group Immm (No. 71)
Unique sites:
1 Sm 0.0000 0.0000 0.1220 x4  2 Ir 3.01, 2 Sm 3.32
2 Sm 0.0000 0.2236 0.3407 x8  3 Ga 3.14-3.19, 1 Ir 3.31, 4 Sm 3.39-3.45
3 Sm 0.0000 0.3269 0.0000 x4  3 Sm 2.97-3.32, 2 Ga 3.17
4 Ga 0.0000 0.5000 0.1936 x4  8 Sm 3.14-3.19
5 Ir 0.0000 0.5000 0.5000 x2  8 Sm 3.01-3.31

Output
Crystal system: orthorhombic
E_form, eV/f.u.: -2.70
Magnetic moment, μB/atom: 0.00


# 2
Sm2GaIr: relaxed, PBE.

Cell lengths 3.6225, 3.6225, 7.0114 Å; angles 90.00, 90.00, 90.00 degrees
Last column: nearest neighbours and their distance in Å.
Space group P4/mmm (No. 123)
Unique sites:
1 Sm 0.0000 0.0000 0.2344 x2  4 Ir 3.04, 4 Ga 3.17, 1 Sm 3.29
2 Ga 0.5000 0.5000 0.5000 x1  8 Sm 3.17, 2 Ir 3.51
3 Ir 0.5000 0.5000 0.0000 x1  8 Sm 3.04

Output
Crystal system: tetragonal
E_form, eV/f.u.: -2.46
Magnetic moment, μB/atom: 0.00


# 3
SmGaIr2: relaxed, PBE.

Cell lengths 5.6640, 7.2212, 8.6842 Å; angles 90.00, 90.00, 90.00 degrees
Last column: nearest neighbours and their distance in Å.
Space group Pmma (No. 51)
Unique sites:
1 Sm 0.2500 0.0000 0.1592 x2  2 Ga 2.94, 2 Ir 3.28
2 Sm 0.2500 0.5000 0.2873 x2  4 Ir 2.70-2.87, 2 Ga 2.88
3 Ga 0.2500 0.0000 0.7487 x2  4 Ir 2.58-2.76
4 Ga 0.2500 0.5000 0.7748 x2  4 Ir 2.41-2.43
5 Ir 0.0000 0.0000 0.5000 x2  2 Ga 2.58, 6 Ir 2.62-2.83
6 Ir 0.0000 0.5000 0.0000 x2  2 Ga 2.41
7 Ir 0.2500 0.2990 0.5500 x4  1 Ga 2.43, 2 Ir 2.62, 1 Sm 2.70

Output
Crystal system: orthorhombic
E_form, eV/f.u.: -0.19
Magnetic moment, μB/atom: 0.02


# 4
SmGa2Ir: relaxed, PBE.

Cell lengths 4.2427, 4.2427, 15.3036 Å; angles 90.00, 90.00, 120.00 degrees
Last column: nearest neighbours and their distance in Å.
Space group R-3m (No. 166, hexagonal axes)
Unique sites:
1 Sm 0.0000 0.0000 0.0000 x3  8 Ga 3.04-3.29
2 Ga 0.0000 0.0000 0.2152 x6  3 Ir 2.56, 3 Ga 2.86
3 Ir 0.0000 0.0000 0.5000 x3  6 Ga 2.56

Output
Crystal system: trigonal
E_form, eV/f.u.: -2.66
Magnetic moment, μB/atom: 0.00


# 5
Sm2GaIr3: relaxed, PBE.

Cell lengths 5.6279, 5.6279, 12.2799 Å; angles 90.00, 90.00, 120.00 degrees
Last column: nearest neighbours and their distance in Å.
Space group R-3m (No. 166, hexagonal axes)
Unique sites:
1 Sm 0.0000 0.0000 0.1261 x6  9 Ir 3.02-3.21, 1 Sm 3.10, 3 Ga 3.29
2 Ga 0.0000 0.0000 0.5000 x3  6 Ir 2.61
3 Ir 0.0000 0.5000 0.0000 x9  2 Ga 2.61, 4 Ir 2.81

Output
Crystal system: trigonal
E_form, eV/f.u.: -4.59
Magnetic moment, μB/atom: 0.00


# 6
SmGa4Ir: relaxed, PBE.

Cell lengths 4.6799, 4.6799, 7.2312 Å; angles 90.00, 90.00, 90.00 degrees
Last column: nearest neighbours and their distance in Å.
Space group P4/mmm (No. 123)
Unique sites:
1 Sm 0.0000 0.0000 0.0000 x1  8 Ga 3.51
2 Ga 0.0000 0.5000 0.5000 x2  2 Ir 2.34
3 Ga 0.5000 0.5000 0.1600 x2  1 Ga 2.31, 1 Ir 2.46
4 Ir 0.5000 0.5000 0.5000 x1  6 Ga 2.34-2.46

Output
Crystal system: tetragonal
E_form, eV/f.u.: -0.42
Magnetic moment, μB/atom: 0.00